# Ce2AuCl

A relaxed Ce2AuCl crystal (PBE, the Alexandria database).

Unit cell a=4.0225 b=4.0225 c=8.1730 alpha=75.75 beta=75.75 gamma=60.00
Site moments in Bohr magnetons follow the coordinates.
Positions (direct):
Cl (0.4997, 0.4997, 0.5010)  -0.01
Au (0.6672, 0.6672, 0.9983)  0.00
Ce (0.0802, 0.0802, 0.7595)  0.98
Ce (0.2529, 0.2529, 0.2412)  0.99

**Calculated volume**: 27.5 A^3/atom
**Energy above the most stable polymorph in this dataset**: 90 meV/atom
**Uncorrected formation energy**: -877 meV per atom